Below is an optimized crystal structure of PmSmSn, with properties calculated at the PBE-GGA level.

Output
Formation energy, eV/atom: -0.582
Final energy, eV per cell: -30.4

```
data_PmSmSn
_chemical_formula_sum 'Pm2 Sm2 Sn2'
_space_group_name_H-M_alt 'P 4/n m m'
_space_group_IT_number 129
_cell_length_a 4.615
_cell_length_b 4.615
_cell_length_c 8.754
_cell_angle_alpha 90.00
_cell_angle_beta 90.00
_cell_angle_gamma 90.00
loop_
_space_group_symop_operation_xyz
'x,y,z'
'-x,-y,-z'
'-y+1/2,x,z'
'y+1/2,-x,-z'
'-x+1/2,-y+1/2,z'
'x+1/2,y+1/2,-z'
'y,-x+1/2,z'
'-y,x+1/2,-z'
'x+1/2,-y,-z'
'-x+1/2,y,z'
'-y,-x,-z'
'y,x,z'
'-x,y+1/2,-z'
'x,-y+1/2,z'
'y+1/2,x+1/2,-z'
'-y+1/2,-x+1/2,z'
loop_
_atom_site_label
_atom_site_type_symbol
_atom_site_fract_x
_atom_site_fract_y
_atom_site_fract_z
Pm1 Pm 0.250 0.250 0.150
Sm1 Sm 0.250 0.750 0.500
Sn1 Sn 0.250 0.250 0.779
```